Computed, not measured: a geometry-optimized AcTiO4 structure at the PBE level of DFT.

Values from the calculation:
Crystal system: tetragonal
Total energy in eV/atom: -8.186
Uncorrected formation energy in eV per formula unit: -17.3

Lattice parameters (Å, degrees): 5.4451 5.4451 12.3356 90.00 90.00 90.00
Closest atoms and distances in Å follow each position.
Space group I4_1/a (No. 88, origin choice 2)
Inequivalent atoms, fractional coordinates:
Ac  0.0000  0.2500  0.1250  8 O 2.59-2.61
Ti  0.0000  0.2500  0.6250  4 O 1.84
O  0.1381  0.9997  0.7049  1 Ti 1.84



Computed, not measured: a geometry-optimized Ac2TiO6 structure at the PBE level of DFT.

Values from the calculation:
Crystal system: tetragonal
Total energy in eV/atom: -7.732
Uncorrected formation energy in eV per formula unit: -23.7

Lattice parameters (Å, degrees): 5.3372 5.3372 10.7419 90.00 90.00 90.00
Closest atoms and distances in Å follow each position.
Space group P4_2/mnm (No. 136)
Inequivalent atoms, fractional coordinates:
Ac  0.0000  0.0000  0.1684  6 O 2.46-2.55
Ti  0.0000  0.0000  0.5000  6 O 1.98-1.99
O  0.1766  0.1766  0.3622  1 Ti 1.99
O  0.2383  0.2383  0.0000  1 Ti 1.98



Computed, not measured: a geometry-optimized AcTi2O structure at the PBE level of DFT.

Values from the calculation:
Crystal system: trigonal
Total energy in eV/atom: -6.984
Uncorrected formation energy in eV per formula unit: -3.1

Lattice parameters (Å, degrees): 3.3092 3.3092 25.0687 90.00 90.00 120.00
Closest atoms and distances in Å follow each position.
Space group R-3m (No. 166, hexagonal axes)
Inequivalent atoms, fractional coordinates:
Ac  0.0000  0.0000  0.0000  2 Ti 3.23, 6 Ac 3.31
Ti  0.0000  0.0000  0.1288  3 O 2.13
O  0.0000  0.0000  0.5000  6 Ti 2.13



Computed, not measured: a geometry-optimized AcTiO structure at the PBE level of DFT.

Values from the calculation:
Crystal system: hexagonal
Total energy in eV/atom: -6.706
Uncorrected formation energy in eV per formula unit: -3.2

Lattice parameters (Å, degrees): 3.4076 3.4076 11.8768 90.00 90.00 120.00
Closest atoms and distances in Å follow each position.
Space group P-6m2 (No. 187)
Inequivalent atoms, fractional coordinates:
Ac  0.0000  0.0000  0.1521  3 O 2.67
Ti  0.6667  0.3333  0.4012  3 O 2.29, 1 Ti 2.35
O  0.0000  0.0000  0.5000  6 Ti 2.29
O  0.6667  0.3333  0.0000  6 Ac 2.67



Computed, not measured: a geometry-optimized AcTi2O6 structure at the PBE level of DFT.

Values from the calculation:
Crystal system: tetragonal
Total energy in eV/atom: -8.443
Uncorrected formation energy in eV per formula unit: -26.3

Lattice parameters (Å, degrees): 3.8365 3.8365 8.2997 90.00 90.00 90.00
Closest atoms and distances in Å follow each position.
Space group P4/mmm (No. 123)
Inequivalent atoms, fractional coordinates:
Ac  0.0000  0.0000  0.0000  12 O 2.71-2.72
Ti  0.5000  0.5000  0.2808  5 O 1.82-1.96
O  0.0000  0.5000  0.2319  2 Ti 1.96
O  0.5000  0.5000  0.0000  2 Ti 2.33
O  0.5000  0.5000  0.5000  2 Ti 1.82



Computed, not measured: a geometry-optimized AcTi4O8 structure at the PBE level of DFT.

Values from the calculation:
Crystal system: trigonal
Total energy in eV/atom: -8.655
Uncorrected formation energy in eV per formula unit: -37.2

Lattice parameters (Å, degrees): 6.4808 6.4808 14.2631 90.00 90.00 120.00
Closest atoms and distances in Å follow each position.
Space group R-3m (No. 166, hexagonal axes)
Inequivalent atoms, fractional coordinates:
Ac  0.0000  0.0000  0.0000  6 O 2.45
Ti  0.0000  0.0000  0.5000  6 O 2.01
Ti  0.0000  0.5000  0.0000  6 O 2.07-2.10
O  0.0000  0.0000  0.2666  3 Ti 2.10
O  0.0535  0.5267  0.2543  3 Ti 2.01-2.07



Computed, not measured: a geometry-optimized AcTiO4 structure at the PBE level of DFT.

Values from the calculation:
Crystal system: tetragonal
Total energy in eV/atom: -7.901
Uncorrected formation energy in eV per formula unit: -15.6

Lattice parameters (Å, degrees): 5.3221 5.3221 6.6606 90.00 90.00 90.00
Closest atoms and distances in Å follow each position.
Space group P4_2/nmc (No. 137, origin choice 2)
Inequivalent atoms, fractional coordinates:
Ac  0.2500  0.7500  0.2500  4 O 2.57
Ti  0.2500  0.7500  0.7500  4 O 1.81
O  0.0103  0.2500  0.0744  1 Ti 1.81



Computed, not measured: a geometry-optimized Ac3Ti2O9 structure at the PBE level of DFT.

Values from the calculation:
Crystal system: trigonal
Total energy in eV/atom: -8.295
Uncorrected formation energy in eV per formula unit: -43.4

Lattice parameters (Å, degrees): 9.8226 9.8226 13.3755 90.00 90.00 120.00
Closest atoms and distances in Å follow each position.
Space group R-3c (No. 167, hexagonal axes)
Inequivalent atoms, fractional coordinates:
Ac  0.0000  0.3292  0.2500  12 O 2.66-2.94
Ti  0.0000  0.0000  0.1427  3 O 1.87
O  0.0000  0.1565  0.7500  2 Ti 2.10
O  0.0085  0.1787  0.4128  1 Ti 1.87



Computed, not measured: a geometry-optimized AcTiO3 structure at the PBE level of DFT.

Values from the calculation:
Crystal system: orthorhombic
Total energy in eV/atom: -8.571
Uncorrected formation energy in eV per formula unit: -16.0

Lattice parameters (Å, degrees): 8.0027 8.0469 8.0763 90.00 90.00 90.00
Closest atoms and distances in Å follow each position.
Space group Cmcm (No. 63)
Inequivalent atoms, fractional coordinates:
Ac  0.0000  0.0071  0.2500  10 O 2.72-2.95
Ac  0.0000  0.4925  0.7500  6 O 2.62-2.85
Ti  0.2500  0.2500  0.0000  6 O 2.02-2.03
O  0.0000  0.2721  0.0260  2 Ti 2.02
O  0.2237  0.2510  0.7500  2 Ti 2.03
O  0.2277  0.0000  0.0000  2 Ti 2.02



Computed, not measured: a geometry-optimized AcTi2O5 structure at the PBE level of DFT.

Values from the calculation:
Crystal system: orthorhombic
Total energy in eV/atom: -8.737
Uncorrected formation energy in eV per formula unit: -25.2

Lattice parameters (Å, degrees): 3.8674 11.7118 5.0954 90.00 90.00 90.00
Closest atoms and distances in Å follow each position.
Space group Pmmn (No. 59, origin choice 2)
Inequivalent atoms, fractional coordinates:
Ac  0.2500  0.2500  0.0993  8 O 2.52-2.68
Ti  0.2500  0.5908  0.4285  1 O 1.77
O  0.2500  0.0836  0.4591  3 Ti 2.02-2.05
O  0.2500  0.6228  0.0897  1 Ti 1.77
O  0.2500  0.7500  0.5821  2 Ti 2.02



Computed, not measured: a geometry-optimized Ac3TiO6 structure at the PBE level of DFT.

Values from the calculation:
Crystal system: orthorhombic
Total energy in eV/atom: -8.206
Uncorrected formation energy in eV per formula unit: -32.1

Lattice parameters (Å, degrees): 9.8894 12.1346 5.9458 90.00 90.00 90.00
Closest atoms and distances in Å follow each position.
Space group Cmc2_1 (No. 36)
Inequivalent atoms, fractional coordinates:
Ac  0.0000  0.1060  0.0000  7 O 2.50-2.73
Ac  0.1935  0.3972  0.9627  5 O 2.44-2.68
Ti  0.0000  0.3131  0.4311  4 O 1.88-1.93
O  0.0000  0.2867  0.7434  1 Ti 1.88
O  0.0000  0.4568  0.2904  1 Ti 1.93
O  0.1423  0.2440  0.2751  1 Ti 1.88
O  0.1551  0.0121  0.7290  4 Ac 2.44-2.50



Computed, not measured: a geometry-optimized AcTiTlO4 structure at the PBE level of DFT.

Values from the calculation:
Crystal system: monoclinic
Total energy in eV/atom: -7.534
Uncorrected formation energy in eV per formula unit: -18.5

Lattice parameters (Å, degrees): 6.6083 6.1500 7.6898 90.00 101.91 90.00
Closest atoms and distances in Å follow each position.
Space group P2_1/m (No. 11)
Inequivalent atoms, fractional coordinates:
Ac  0.2039  0.2500  0.0839  6 O 2.47-2.67
Ti  0.2848  0.7500  0.8511  4 O 1.81-1.85
Tl  0.3287  0.2500  0.6233  1 O 2.51
O  0.1013  0.5208  0.8444  1 Ti 1.85
O  0.4603  0.7500  0.6979  1 Ti 1.82
O  0.4642  0.7500  0.0643  1 Ti 1.81